DFT (GGA-PBE) results for an optimized crystal structure of Rb2SnCl7.

Unit cell a=7.396 b=11.583 c=9.642 alpha=95.14 beta=67.45 gamma=71.38
Fractional coordinates of all 20 atoms:
Rb 0.751 0.926 0.743
Rb 0.580 0.426 0.243
Rb 0.420 0.574 0.757
Rb 0.249 0.074 0.257
Sn 0.017 0.250 0.750
Sn 0.983 0.750 0.250
Cl 0.822 0.472 0.876
Cl 0.830 0.972 0.376
Cl 0.383 0.833 0.967
Cl 0.290 0.286 0.550
Cl 0.681 0.250 0.750
Cl 0.817 0.333 0.467
Cl 0.125 0.214 0.950
Cl 0.875 0.786 0.050
Cl 0.183 0.667 0.533
Cl 0.319 0.750 0.250
Cl 0.710 0.714 0.450
Cl 0.617 0.167 0.033
Cl 0.170 0.028 0.624
Cl 0.178 0.528 0.124

Output
For the total energy, the calculation gives -3.06 eV/atom. As for the symmetry: No. 15. The value obtained for the formation energy without anion corrections is -1.17 eV/atom. The value obtained for the spin magnetization is 1.0 μB/f.u.